one | The following is a DFT calculation (GGA-PBE) of a relaxed structure of TbZrZn4.

Lattice parameters (Å, degrees): 7.5742 7.5742 7.5742 90.00 90.00 90.00
Last column: nearest neighbours and their distance in Å.
Space group F-43m (No. 216)
Symmetry-distinct sites (fractional):
Tb 0.0000 0.0000 0.0000  12 Zn 3.14, 4 Zr 3.28
Zr 0.2500 0.2500 0.2500  12 Zn 3.14, 4 Tb 3.28
Zn 0.1242 0.1242 0.6242  6 Zn 2.66-2.69

Values from the calculation:
V: 434.51 Å³/cell
ρ: 7.82 g cm⁻³
total moment: 1.09 μB/f.u.

two | The following is a DFT calculation (GGA-PBE) of a relaxed structure of TbZrZn4.

Lattice parameters (Å, degrees): 4.3006 6.8719 7.6925 90.00 90.00 90.00
Last column: nearest neighbours and their distance in Å.
Space group Immm (No. 71)
Symmetry-distinct sites (fractional):
Tb 0.0000 0.0000 0.0000  12 Zn 2.98-3.16
Zr 0.0000 0.5000 0.0000  12 Zn 2.92-3.21
Zn 0.0000 0.2197 0.3334  3 Zn 2.54-2.56

Values from the calculation:
V: 227.34 Å³/cell
ρ: 7.48 g cm⁻³
total moment: 0.00 μB/f.u.

Taking the most stable structure as the zero point, the relative energies in meV/atom are one 50; two 0.

one | The following is a DFT calculation (GGA-PBE) of a relaxed structure of Tc2Te.

Lattice parameters (Å, degrees): 11.9296 3.0247 6.8702 90.00 119.39 90.00
Last column: nearest neighbours and their distance in Å.
Space group C2/m (No. 12)
Symmetry-distinct sites (fractional):
Tc 0.0690 0.0000 0.2226  5 Tc 2.64-2.67, 3 Te 2.77-2.83
Tc 0.1411 0.5000 0.9886  6 Tc 2.64-2.94, 3 Te 2.70-2.95
Te 0.1685 0.5000 0.6204  6 Tc 2.70-2.95, 2 Te 3.02

Values from the calculation:
V: 215.99 Å³/cell
ρ: 9.95 g cm⁻³
total moment: 0.00 μB/f.u.

two | The following is a DFT calculation (GGA-PBE) of a relaxed structure of Tc2Te.

Lattice parameters (Å, degrees): 5.0946 5.0946 9.5581 90.00 90.00 120.00
Last column: nearest neighbours and their distance in Å.
Space group P6_3/mmc (No. 194)
Symmetry-distinct sites (fractional):
Tc 0.0000 0.0000 0.0000  6 Tc 2.82, 6 Te 3.03
Tc 0.1698 0.3396 0.2500  4 Tc 2.50-2.60
Te 0.3333 0.6667 0.5776  9 Tc 3.03, 4 Te 3.29-3.30

Values from the calculation:
V: 214.85 Å³/cell
ρ: 10.00 g cm⁻³
total moment: 0.00 μB/f.u.

Taking the most stable structure as the zero point, the relative energies in meV/atom are one 0; two 378.

one | The following is a DFT calculation (GGA-PBE) of a relaxed structure of Tc2Te.

Lattice parameters (Å, degrees): 5.2148 5.2148 8.2087 90.00 90.00 90.00
Last column: nearest neighbours and their distance in Å.
Space group I4/mcm (No. 140)
Symmetry-distinct sites (fractional):
Tc 0.1682 0.3318 0.0000  5 Tc 2.48-2.74
Te 0.0000 0.0000 0.2500  8 Tc 2.82

Values from the calculation:
V: 223.23 Å³/cell
ρ: 9.63 g cm⁻³
total moment: 0.00 μB/f.u.

two | The following is a DFT calculation (GGA-PBE) of a relaxed structure of Tc2Te.

Lattice parameters (Å, degrees): 3.0908 4.0513 8.0807 90.00 90.00 90.00
Last column: nearest neighbours and their distance in Å.
Space group Immm (No. 71)
Symmetry-distinct sites (fractional):
Tc 0.0000 0.0000 0.1746  5 Te 2.63-2.91, 5 Tc 2.82
Te 0.0000 0.0000 0.5000  10 Tc 2.63-2.91

Values from the calculation:
V: 101.18 Å³/cell
ρ: 10.62 g cm⁻³
total moment: 0.00 μB/f.u.

Taking the most stable structure as the zero point, the relative energies in meV/atom are one 96; two 0.

one | The following is a DFT calculation (GGA-PBE) of a relaxed structure of Tc3Te5.

Lattice parameters (Å, degrees): 6.9515 6.9760 8.5267 75.74 80.35 72.54
Last column: nearest neighbours and their distance in Å.
Space group P-1 (No. 2)
Symmetry-distinct sites (fractional):
Tc 0.0509 0.1056 0.2366  7 Te 2.70-2.96
Tc 0.3298 0.4681 0.4492  7 Te 2.69-2.89, 1 Tc 2.84
Tc 0.3804 0.2063 0.9666  5 Te 2.57-2.75, 1 Tc 2.83
Te 0.0417 0.2243 0.5387  4 Tc 2.77-2.89
Te 0.1994 0.4357 0.1742  3 Tc 2.59-2.73
Te 0.2307 0.9053 0.9831  3 Tc 2.57-2.78
Te 0.3028 0.5681 0.7389  4 Tc 2.69-2.82
Te 0.4226 0.8447 0.3342  4 Tc 2.75-2.82

Values from the calculation:
V: 380.32 Å³/cell
ρ: 8.14 g cm⁻³
total moment: 0.00 μB/f.u.

two | The following is a DFT calculation (GGA-PBE) of a relaxed structure of Tc3Te5.

Lattice parameters (Å, degrees): 7.3320 10.5854 4.5282 90.00 90.00 90.00
Last column: nearest neighbours and their distance in Å.
Space group Cmmm (No. 65)
Symmetry-distinct sites (fractional):
Tc 0.0000 0.0000 0.0000  4 Te 2.75
Tc 0.0000 0.2001 0.5000  2 Te 2.63
Te 0.0000 0.5000 0.0000  8 Te 3.09-3.22
Te 0.2128 0.0000 0.5000  4 Tc 2.63-2.75
Te 0.2500 0.2500 0.0000  6 Tc 2.96-3.22, 2 Te 3.22

Values from the calculation:
V: 351.44 Å³/cell
ρ: 8.81 g cm⁻³
total moment: 0.23 μB/f.u.

Taking the most stable structure as the zero point, the relative energies in meV/atom are one 0; two 399.

one | The following is a DFT calculation (GGA-PBE) of a relaxed structure of TcTe.

Lattice parameters (Å, degrees): 3.1604 3.1604 31.1863 90.00 90.00 120.00
Last column: nearest neighbours and their distance in Å.
Space group R-3m (No. 166, hexagonal axes)
Symmetry-distinct sites (fractional):
Tc 0.0000 0.0000 0.1335  3 Te 2.72, 3 Tc 2.76
Te 0.0000 0.0000 0.4022  3 Tc 2.72

Values from the calculation:
V: 269.75 Å³/cell
ρ: 8.33 g cm⁻³
total moment: 0.00 μB/f.u.

two | The following is a DFT calculation (GGA-PBE) of a relaxed structure of TcTe.

Lattice parameters (Å, degrees): 3.8607 13.7575 4.0036 90.00 90.00 90.00
Last column: nearest neighbours and their distance in Å.
Space group Imm2 (No. 44)
Symmetry-distinct sites (fractional):
Tc 0.0000 0.0000 0.0000  2 Tc 2.41, 2 Te 2.68
Tc 0.0000 0.5000 0.1383  2 Tc 2.41
Te 0.0000 0.1373 0.4738  4 Tc 2.68-2.83

Values from the calculation:
V: 212.65 Å³/cell
ρ: 7.05 g cm⁻³
total moment: 0.00 μB/f.u.

three | The following is a DFT calculation (GGA-PBE) of a relaxed structure of TcTe.

Lattice parameters (Å, degrees): 3.2968 3.2968 9.6800 90.00 90.00 120.00
Last column: nearest neighbours and their distance in Å.
Space group P-3m1 (No. 164)
Symmetry-distinct sites (fractional):
Tc 0.3333 0.6667 0.4016  3 Te 2.68, 3 Tc 2.69
Te 0.3333 0.6667 0.7936  3 Tc 2.68

Values from the calculation:
V: 91.11 Å³/cell
ρ: 8.22 g cm⁻³
total moment: 0.00 μB/f.u.

four | The following is a DFT calculation (GGA-PBE) of a relaxed structure of TcTe.

Lattice parameters (Å, degrees): 13.9664 3.1970 6.7753 90.00 104.51 90.00
Last column: nearest neighbours and their distance in Å.
Space group Cm (No. 8)
Symmetry-distinct sites (fractional):
Tc 0.0000 0.0000 0.0000  3 Tc 2.67-2.70, 5 Te 2.68-2.78
Tc 0.0201 0.5000 0.6915  4 Tc 2.50-2.70, 3 Te 2.76
Tc 0.1568 0.0000 0.8412  3 Tc 2.50-2.67, 3 Te 2.71
Te 0.1630 0.5000 0.1672  4 Tc 2.71-2.78
Te 0.3485 0.0000 0.8228  4 Tc 2.68-2.76
Te 0.4416 0.5000 0.3588  3 Tc 2.75-2.76

Values from the calculation:
V: 292.87 Å³/cell
ρ: 7.67 g cm⁻³
total moment: 0.00 μB/f.u.

Taking the most stable structure as the zero point, the relative energies in meV/atom are one 176; two 0; three 29; four 10.

one | The following is a DFT calculation (GGA-PBE) of a relaxed structure of TcTe.

Lattice parameters (Å, degrees): 6.0603 4.2629 7.8335 90.00 92.49 90.00
Last column: nearest neighbours and their distance in Å.
Space group C2/m (No. 12)
Symmetry-distinct sites (fractional):
Tc 0.2163 0.0000 0.0727  2 Tc 2.46, 1 Te 2.65
Te 0.1211 0.0000 0.7235  4 Tc 2.65-2.82

Values from the calculation:
V: 202.18 Å³/cell
ρ: 7.41 g cm⁻³
total moment: 0.00 μB/f.u.

two | The following is a DFT calculation (GGA-PBE) of a relaxed structure of TcTe.

Lattice parameters (Å, degrees): 3.0791 15.4605 3.9336 90.00 90.00 90.00
Last column: nearest neighbours and their distance in Å.
Space group Cmcm (No. 63)
Symmetry-distinct sites (fractional):
Tc 0.0000 0.2113 0.2500  5 Te 2.63-2.88, 4 Tc 2.77
Te 0.0000 0.3817 0.2500  5 Tc 2.63-2.88

Values from the calculation:
V: 187.26 Å³/cell
ρ: 8.00 g cm⁻³
total moment: 0.00 μB/f.u.

three | The following is a DFT calculation (GGA-PBE) of a relaxed structure of TcTe.

Lattice parameters (Å, degrees): 7.4860 4.0241 7.8065 90.00 116.80 90.00
Last column: nearest neighbours and their distance in Å.
Space group Cm (No. 8)
Symmetry-distinct sites (fractional):
Tc 0.0000 0.0000 0.0000  3 Tc 2.40-2.53, 1 Te 2.65
Tc 0.1503 0.5000 0.9177  3 Tc 2.40-2.53
Te 0.4190 0.0000 0.1992  5 Tc 2.77-2.99
Te 0.4739 0.5000 0.6497  3 Tc 2.65-2.77

Values from the calculation:
V: 209.91 Å³/cell
ρ: 7.14 g cm⁻³
total moment: 0.00 μB/f.u.

four | The following is a DFT calculation (GGA-PBE) of a relaxed structure of TcTe.

Lattice parameters (Å, degrees): 3.9465 3.9465 9.6329 90.00 90.00 90.00
Last column: nearest neighbours and their distance in Å.
Space group I4_1/amd (No. 141, origin choice 2)
Symmetry-distinct sites (fractional):
Tc 0.0000 0.2500 0.3750  8 Te 2.79-3.11, 4 Tc 3.11
Te 0.0000 0.2500 0.8750  8 Tc 2.79-3.11, 4 Te 3.11

Values from the calculation:
V: 150.03 Å³/cell
ρ: 9.99 g cm⁻³
total moment: 0.00 μB/f.u.

Taking the most stable structure as the zero point, the relative energies in meV/atom are one 0; two 118; three 66; four 644.

one | The following is a DFT calculation (GGA-PBE) of a relaxed structure of TcTe4.

Lattice parameters (Å, degrees): 5.2340 5.2340 5.2340 90.00 90.00 90.00
Last column: nearest neighbours and their distance in Å.
Space group Pm-3m (No. 221)
Symmetry-distinct sites (fractional):
Tc 0.0000 0.0000 0.0000  6 Te 2.62
Te 0.0000 0.0000 0.5000  2 Tc 2.62
Te 0.5000 0.5000 0.5000  12 Te 3.70

Values from the calculation:
V: 143.39 Å³/cell
ρ: 7.05 g cm⁻³
total moment: 0.00 μB/f.u.

two | The following is a DFT calculation (GGA-PBE) of a relaxed structure of TcTe4.

Lattice parameters (Å, degrees): 9.2592 9.2592 3.2946 90.00 90.00 90.00
Last column: nearest neighbours and their distance in Å.
Space group I4/m (No. 87)
Symmetry-distinct sites (fractional):
Tc 0.0000 0.0000 0.0000  8 Te 2.82
Te 0.0981 0.2263 0.5000  2 Tc 2.82

Values from the calculation:
V: 282.45 Å³/cell
ρ: 7.15 g cm⁻³
total moment: 0.00 μB/f.u.

Taking the most stable structure as the zero point, the relative energies in meV/atom are one 315; two 0.

one | The following is a DFT calculation (GGA-PBE) of a relaxed structure of Tc4Te.

Lattice parameters (Å, degrees): 4.7661 4.7661 4.7661 90.00 90.00 90.00
Last column: nearest neighbours and their distance in Å.
Space group Pm-3m (No. 221)
Symmetry-distinct sites (fractional):
Tc 0.0000 0.0000 0.0000  12 Tc 3.37
Tc 0.0000 0.5000 0.5000  2 Te 2.38
Te 0.5000 0.5000 0.5000  6 Tc 2.38

Values from the calculation:
V: 108.27 Å³/cell
ρ: 7.97 g cm⁻³
total moment: 2.50 μB/f.u.

two | The following is a DFT calculation (GGA-PBE) of a relaxed structure of Tc4Te.

Lattice parameters (Å, degrees): 5.8284 5.8284 5.8284 90.00 90.00 90.00
Last column: nearest neighbours and their distance in Å.
Space group Im-3m (No. 229)
Symmetry-distinct sites (fractional):
Tc 0.2500 0.2500 0.2500  2 Te 2.52
Te 0.0000 0.0000 0.0000  8 Tc 2.52

Values from the calculation:
V: 197.99 Å³/cell
ρ: 8.72 g cm⁻³
total moment: 0.00 μB/f.u.

Taking the most stable structure as the zero point, the relative energies in meV/atom are one 489; two 0.

one | The following is a DFT calculation (GGA-PBE) of a relaxed structure of Th4Tc2Te.

Lattice parameters (Å, degrees): 12.4075 12.4141 12.4237 90.00 90.00 90.00
Last column: nearest neighbours and their distance in Å.
Space group Fddd (No. 70, origin choice 2)
Symmetry-distinct sites (fractional):
Th 0.0198 0.0196 0.2302  3 Tc 2.88, 1 Te 3.11
Tc 0.0000 0.0000 0.0000  6 Th 2.88
Te 0.1250 0.1250 0.6250  4 Th 3.11

Values from the calculation:
V: 1913.60 Å³/cell
ρ: 8.69 g cm⁻³
total moment: 0.00 μB/f.u.

two | The following is a DFT calculation (GGA-PBE) of a relaxed structure of Th4Tc2Te.

Lattice parameters (Å, degrees): 12.3706 4.3123 14.9537 90.00 90.00 90.00
Last column: nearest neighbours and their distance in Å.
Space group Pnma (No. 62)
Symmetry-distinct sites (fractional):
Th 0.0057 0.2500 0.2191  2 Tc 2.71
Th 0.0612 0.7500 0.4179  3 Tc 2.74-2.97
Th 0.1330 0.2500 0.9966  3 Tc 2.96-3.00
Th 0.2184 0.2500 0.6669  3 Tc 2.78-2.79
Tc 0.0643 0.7500 0.1200  6 Th 2.71-3.00
Tc 0.1027 0.7500 0.5978  6 Th 2.74-3.05
Te 0.2483 0.2500 0.3458  8 Th 3.33-3.55

Values from the calculation:
V: 797.71 Å³/cell
ρ: 10.42 g cm⁻³
total moment: 0.00 μB/f.u.

Taking the most stable structure as the zero point, the relative energies in meV/atom are one 234; two 0.

one | The following is a DFT calculation (GGA-PBE) of a relaxed structure of Th3TcTe.

Lattice parameters (Å, degrees): 8.7440 4.2366 8.7513 90.00 115.45 90.00
Last column: nearest neighbours and their distance in Å.
Space group P2_1/m (No. 11)
Symmetry-distinct sites (fractional):
Th 0.0817 0.2500 0.4185  2 Te 3.21, 6 Th 3.21-3.58
Th 0.1981 0.2500 0.9115  2 Tc 2.84
Th 0.4134 0.7500 0.6981  2 Tc 2.85
Tc 0.4283 0.7500 0.0702  1 Te 2.73, 4 Th 2.84-2.85, 2 Tc 2.98
Te 0.2443 0.7500 0.2559  1 Tc 2.73

Values from the calculation:
V: 292.74 Å³/cell
ρ: 10.46 g cm⁻³
total moment: 0.00 μB/f.u.

two | The following is a DFT calculation (GGA-PBE) of a relaxed structure of Th3TcTe.

Lattice parameters (Å, degrees): 9.0849 4.1708 15.3285 90.00 90.00 90.00
Last column: nearest neighbours and their distance in Å.
Space group Pnma (No. 62)
Symmetry-distinct sites (fractional):
Th 0.0258 0.2500 0.1075  3 Tc 2.85-3.01
Th 0.1568 0.2500 0.5032  2 Tc 2.79
Th 0.1888 0.7500 0.2789  1 Tc 2.65
Tc 0.1774 0.2500 0.9329  5 Th 2.65-2.85
Te 0.0898 0.7500 0.6742  9 Th 3.31-3.64

Values from the calculation:
V: 580.82 Å³/cell
ρ: 10.54 g cm⁻³
total moment: 0.00 μB/f.u.

Taking the most stable structure as the zero point, the relative energies in meV/atom are one 165; two 0.